Record 1
# CoAs3W

An optimized crystal structure of CoAs3W (PBE-GGA, the Alexandria database).

Summary:
**Formation energy from the elements**: 1041.6 meV/atom
**Offset from the most stable computed form**: 0.0 meV per atom
**Calculated total energy**: -5.7599 eV/atom
**Space-group type**: Pm-3m

a = 4.8723 Å, b = 4.8723 Å, c = 4.8723 Å
α = 90.00°, β = 90.00°, γ = 90.00°
Closest atoms and distances in Å follow each position.
Element x y z (fractional)
Co (0.0000, 0.0000, 0.0000)  12 As 3.45
As (0.0000, 0.5000, 0.5000)  2 W 2.44
As (0.5000, 0.0000, 0.5000)  2 W 2.44
As (0.5000, 0.5000, 0.0000)  2 W 2.44
W (0.5000, 0.5000, 0.5000)  6 As 2.44


Record 2
# YCoAs2

An optimized crystal structure of YCoAs2 (PBE-GGA, the Alexandria database).

Summary:
**Formation energy from the elements**: -689.5 meV/atom
**Calculated total energy**: -6.4067 eV/atom
**Space-group type**: R3m

a = 6.1877 Å, b = 6.1877 Å, c = 6.1877 Å
α = 36.22°, β = 36.22°, γ = 36.22°
Closest atoms and distances in Å follow each position.
Element x y z (fractional)
Y (0.0000, 0.0000, 0.0000)  6 As 2.84-2.99, 1 Co 3.17
Co (0.1829, 0.1829, 0.1829)  6 As 2.37-2.51
As (0.5646, 0.5646, 0.5646)  3 Co 2.37
As (0.7821, 0.7821, 0.7821)  3 Co 2.51